No. 1
First-principles (GGA-PBE) data for crystalline Na2LiTl5 at its relaxed geometry, as listed in Alexandria.

```
Na2LiTl5
1.0
-4.1720 4.1720 6.3375
4.1720 -4.1720 6.3375
4.1720 4.1720 -6.3375
Na Li Tl
4 2 10
Direct
0.1440 0.6440 0.7880
0.3560 0.1440 0.5000
0.6440 0.8560 0.5000
0.8560 0.3560 0.2120
0.2500 0.2500 0.0000
0.7500 0.7500 0.0000
0.0000 0.0000 0.0000
0.0107 0.8175 0.5000
0.1825 0.6825 0.1931
0.3175 0.5107 0.5000
0.4893 0.9893 0.8069
0.5000 0.5000 0.0000
0.5107 0.0107 0.1931
0.6825 0.4893 0.5000
0.8175 0.3175 0.8069
0.9893 0.1825 0.5000
```

Values from the calculation:
The formation energy is -0.068 eV per atom.

=====

No. 2
First-principles (GGA-PBE) data for crystalline CaPr2Nd6Y3 at its relaxed geometry, as listed in Alexandria.

```
CaPr2Nd6Y3
1.0
3.1838 -5.5156 0.0000
3.1838 5.5156 0.0000
-2.1109 0.0000 11.9210
Ca Pr Nd Y
1 2 6 3
Direct
0.0000 0.0000 0.0000
0.3330 0.6670 0.0000
0.6670 0.3330 0.0000
0.0860 0.4238 0.2559
0.2517 0.2517 0.7434
0.4238 0.0860 0.2559
0.5762 0.9140 0.7441
0.7483 0.7483 0.2566
0.9140 0.5762 0.7441
0.1660 0.8340 0.5000
0.5000 0.5000 0.5000
0.8340 0.1660 0.5000
```

Values from the calculation:
The formation energy is 0.023 eV per atom.

=====

No. 3
First-principles (GGA-PBE) data for crystalline PmSm12Dy6 at its relaxed geometry, as listed in Alexandria.

```
PmSm12Dy6
1.0
6.0400 3.4872 5.0764
-6.0400 3.4872 5.0764
0.0000 -6.9744 5.0764
Pm Sm Dy
1 12 6
Direct
0.0000 0.0000 0.0000
0.0157 0.3605 0.1989
0.1989 0.0157 0.3605
0.2216 0.5666 0.4618
0.3605 0.1989 0.0157
0.4334 0.5382 0.7784
0.4618 0.2216 0.5666
0.5382 0.7784 0.4334
0.5666 0.4618 0.2216
0.6395 0.8011 0.9843
0.7784 0.4334 0.5382
0.8011 0.9843 0.6395
0.9843 0.6395 0.8011
0.0973 0.2594 0.6972
0.2594 0.6972 0.0973
0.3028 0.9027 0.7406
0.6972 0.0973 0.2594
0.7406 0.3028 0.9027
0.9027 0.7406 0.3028
```

Values from the calculation:
The formation energy is 0.141 eV per atom.

=====

No. 4
First-principles (GGA-PBE) data for crystalline RePPb2 at its relaxed geometry, as listed in Alexandria.

```
RePPb2
1.0
3.1999 0.0000 0.0000
0.0000 3.1999 0.0000
0.0000 0.0000 8.5368
Re P Pb
1 1 2
Direct
0.0000 0.0000 0.0000
0.5000 0.5000 0.1114
0.0000 0.0000 0.3665
0.5000 0.5000 0.7386
```

Values from the calculation:
The formation energy is 0.146 eV per atom.

=====

No. 5
First-principles (GGA-PBE) data for crystalline Ca6Pb3Au at its relaxed geometry, as listed in Alexandria.

```
Ca6Pb3Au
1.0
9.8167 0.0000 0.0000
0.0000 5.3768 0.0000
-3.4108 0.0000 11.4498
Ca Pb Au
12 6 2
Direct
0.0313 0.2500 0.4089
0.1602 0.7500 0.1811
0.2735 0.2500 0.0039
0.3514 0.7500 0.8327
0.3702 0.2500 0.3306
0.3954 0.2500 0.6259
0.6046 0.7500 0.3741
0.6298 0.7500 0.6694
0.6486 0.2500 0.1673
0.7265 0.7500 0.9961
0.8398 0.2500 0.8189
0.9687 0.7500 0.5911
0.0300 0.7500 0.8936
0.1331 0.2500 0.7228
0.2891 0.7500 0.4744
0.7109 0.2500 0.5256
0.8669 0.7500 0.2772
0.9700 0.2500 0.1064
0.4477 0.7500 0.1187
0.5523 0.2500 0.8813
```

Values from the calculation:
The formation energy is -0.509 eV per atom.

=====

No. 6
First-principles (GGA-PBE) data for crystalline Ac2Pm7Y2 at its relaxed geometry, as listed in Alexandria.

```
Ac2Pm7Y2
1.0
5.8494 -5.9538 0.0000
5.8494 5.9538 0.0000
-2.3244 0.0000 5.7520
Ac Pm Y
2 7 2
Direct
0.2254 0.2254 0.1037
0.7746 0.7746 0.8963
0.0000 0.0000 0.5000
0.0510 0.5946 0.3310
0.4054 0.9490 0.6690
0.4218 0.4218 0.7010
0.5782 0.5782 0.2990
0.5946 0.0510 0.3310
0.9490 0.4054 0.6690
0.2302 0.7698 0.0000
0.7698 0.2302 0.0000
```

Values from the calculation:
The formation energy is 0.156 eV per atom.

=====

In the order shown, the computed calculated density values come out to 8.090; 5.767; 7.569; 11.998; 5.820; 6.826 g/cm3.